Record 1
The following is a DFT calculation (PBE) of crystalline KOs2Pb at its relaxed geometry.

Results
- space-group type = F-43m (216)
- formation enthalpy at 0 K (eV/atom) = 1.472
- DOS at the Fermi energy (states/eV/cell) = 5.1

Geometry as extended XYZ:
```
4
Lattice="-4.5608 0.7223 1.3201 0.6057 -2.9564 3.7361 2.9488 3.7416 -0.6086" Properties=species:S:1:pos:R:3 pbc="T T T"
Os 0.7884 -0.1659 2.8277
Os 0.0000 0.0000 0.0000
K -1.7948 1.6734 1.6197
Pb -1.9776 -1.1170 2.5281
```

***

Record 2
The following is a DFT calculation (PBE) of crystalline K2OsPb at its relaxed geometry.

Results
- space-group type = R-3m (166)
- formation enthalpy at 0 K (eV/atom) = 1.026
- DOS at the Fermi energy (states/eV/cell) = 3.2

Geometry as extended XYZ:
```
4
Lattice="-11.0458 -4.1305 2.7217 -11.2928 -4.3313 -0.4354 -9.9962 -6.7151 1.2094" Properties=species:S:1:pos:R:3 pbc="T T T"
K -16.4468 -7.7196 1.7780
Os -8.0837 -3.7942 0.8739
Pb -24.2511 -11.3827 2.6218
K -32.0554 -15.0457 3.4655
```

***

Record 3
The following is a DFT calculation (PBE) of crystalline KOsPd2Pb at its relaxed geometry.

Results
- space-group type = P4/mmm (123)
- formation enthalpy at 0 K (eV/atom) = 1.757
- DOS at the Fermi energy (states/eV/cell) = 5.7

Geometry as extended XYZ:
```
5
Lattice="-3.0730 -0.4064 -4.0545 2.0283 -5.4557 -0.9904 -3.6784 -1.9083 2.9792" Properties=species:S:1:pos:R:3 pbc="T T T"
Pb 0.0000 0.0000 0.0000
Pd -1.5365 -0.2032 -2.0273
Os -2.3616 -3.8852 -1.0328
Pd -1.8392 -0.9542 1.4896
K 1.0141 -2.7279 -0.4952
```

***

Record 4
The following is a DFT calculation (PBE) of crystalline KOsPdPb2 at its relaxed geometry.

Results
- space-group type = P4/mmm (123)
- formation enthalpy at 0 K (eV/atom) = 0.927
- DOS at the Fermi energy (states/eV/cell) = 4.5

Geometry as extended XYZ:
```
5
Lattice="5.3599 0.0000 0.0000 0.0000 5.2310 0.0000 0.0000 0.0000 5.3599" Properties=species:S:1:pos:R:3 pbc="T T T"
Pb 0.0000 0.0000 2.6799
Pb 2.6799 0.0000 0.0000
Os 0.0000 2.6155 0.0000
Pd 0.0000 0.0000 0.0000
K 2.6799 2.6155 2.6799
```

***

Record 5
The following is a DFT calculation (PBE) of crystalline KOsPb2Se at its relaxed geometry.

Results
- space-group type = P4/mmm (123)
- DOS at the Fermi energy (states/eV/cell) = 6.2
- formation energy from raw total energies (eV/atom) = 0.340

Geometry as extended XYZ:
```
5
Lattice="-2.0700 3.9501 2.7631 -0.9246 -3.4938 4.3020 4.7427 1.1302 1.9372" Properties=species:S:1:pos:R:3 pbc="T T T"
Os 0.0000 0.0000 0.0000
Pb 2.3713 0.5651 0.9686
Se -0.4623 -1.7469 2.1510
Pb -1.0350 1.9751 1.3816
K 0.8740 0.7933 4.5012
```

***

Record 6
The following is a DFT calculation (PBE) of crystalline KZnOsPb2 at its relaxed geometry.

Results
- space-group type = P4/mmm (123)
- formation enthalpy at 0 K (eV/atom) = 2.099
- DOS at the Fermi energy (states/eV/cell) = 5.2

Geometry as extended XYZ:
```
5
Lattice="-0.8957 -5.5858 1.4771 3.8912 -1.2517 -2.3737 3.1962 0.7662 4.8356" Properties=species:S:1:pos:R:3 pbc="T T T"
Pb -0.4479 -2.7929 0.7385
Pb 1.5981 0.3831 2.4178
Os 1.9456 -0.6258 -1.1868
Zn 3.0958 -3.0356 1.9695
K 0.0000 0.0000 0.0000
```

***

no.,magnetization (μB/atom)
1,0.3491
2,0.1394
3,0.6231
4,0.5660
5,0.1628
6,0.0000